# 1
{
  "formula": "CaHoCd2",
  "functional": "GGA-PBE",
  "state": "relaxed",
  "lattice": [[3.7428, 0.0000, 0.0000], [0.0000, 5.3491, 0.0000], [0.0000, 0.0000, 5.3491]],
  "species": ["Ca", "Ho", "Cd", "Cd"],
  "frac_coords": [[0.5000, 0.0000, 0.0000], [0.5000, 0.5000, 0.5000], [0.0000, 0.0000, 0.5000], [0.0000, 0.5000, 0.0000]]
}

# 2
{
  "formula": "Ca2Ho2Cd3",
  "functional": "GGA-PBE",
  "state": "relaxed",
  "lattice": [[5.0565, -0.0010, -1.4123], [-2.7250, 4.4799, -0.0004], [-0.1357, -0.0771, 9.2809]],
  "species": ["Ca", "Ca", "Ho", "Ho", "Cd", "Cd", "Cd"],
  "frac_coords": [[0.2545, 0.1270, 0.3818], [0.7455, 0.8730, 0.6182], [0.7523, 0.3759, 0.1280], [0.2477, 0.6241, 0.8720], [0.0000, 0.0000, 0.0000], [0.5112, 0.2558, 0.7664], [0.4888, 0.7442, 0.2336]]
}

no.,formation energy from the elements (eV per atom),calculated total energy (eV per atom),V (Å³ per atom)
1,-0.349,-2.452,26.77
2,-0.214,-2.486,29.87